## HfTcNiBr2 (PBE)

Data for a relaxed HfTcNiBr2 crystal.

Output
Calculated total energy   -4.934 eV per atom
Calculated volume   110.9 Å³/f.u.

Lattice parameters (Å, degrees): 4.6687 4.6687 5.0880 90.00 90.00 90.00
Last column: nearest neighbours and their distance in Å.
Space group P4/mmm (No. 123)
Unique sites:
Hf (0.0000, 0.0000, 0.0000) [1 per cell]  2 Ni 2.54
Tc (0.5000, 0.5000, 0.0000) [1 per cell]  4 Hf 3.30, 8 Br 3.45
Ni (0.0000, 0.0000, 0.5000) [1 per cell]  4 Br 2.33, 2 Hf 2.54
Br (0.0000, 0.5000, 0.5000) [2 per cell]  2 Ni 2.33